[1]
First-principles (PBE) data for CuPtBr2 after structural relaxation, as listed in Alexandria via LeMat-Bulk.

Lattice parameters (Å, degrees): 4.007 4.007 7.806 90.00 90.00 121.43
Sites, in units of the cell vectors:
Br: 0.000 0.000 0.911
Br: 0.500 0.500 0.357
Cu: 0.000 0.000 0.520
Pt: 0.500 0.500 0.712

Computed properties:
**Space-group type**: Cmm2 (35)
**Uncorrected energy**: -3.2807 eV per atom
**Formation energy (no corrections)**: 90 meV/atom
**N(E_F)**: 1.32 states/eV/f.u.

***

[2]
First-principles (PBE) data for Rb4Tm3US8 after structural relaxation, as listed in Alexandria via LeMat-Bulk.

Lattice parameters (Å, degrees): 8.098 8.996 8.098 116.76 120.00 90.00
Sites, in units of the cell vectors:
Rb: 0.500 0.000 0.000
Rb: 0.500 0.000 0.500
Rb: 0.000 0.000 0.000
Rb: 0.000 0.000 0.500
Tm: 0.500 0.500 0.000
Tm: 0.500 0.500 0.500
Tm: 0.000 0.500 0.500
U: 0.000 0.500 0.000
S: 0.233 0.691 0.958
S: 0.233 0.691 0.465
S: 0.270 0.311 0.540
S: 0.726 0.691 0.958
S: 0.274 0.309 0.042
S: 0.730 0.689 0.460
S: 0.767 0.309 0.535
S: 0.767 0.309 0.042

Computed properties:
**Space-group type**: R-3m (166)
**Uncorrected energy**: -5.5558 eV per atom
**Formation energy (no corrections)**: -1706 meV/atom
**N(E_F)**: 8.74 states/eV/f.u.

***

| no. | theoretical density (kg/m³) |
| --- | --- |
| 1 | 6498 |
| 2 | 5111 |